# TaNiB, relaxed, DFT PBE
# - Total energy: -7.869 eV per atom
data_TaNiB
_space_group_name_H-M_alt 'P 1'
_space_group_IT_number 1
_cell_length_a 5.672
_cell_length_b 5.653
_cell_length_c 3.908
_cell_angle_alpha 70.06
_cell_angle_beta 69.56
_cell_angle_gamma 40.38
loop_
_space_group_symop_operation_xyz
'x,y,z'
loop_
_atom_site_label
_atom_site_fract_x
_atom_site_fract_y
_atom_site_fract_z
_atom_site_occupancy
Ni1 0.250 0.250 0.250 1
B1 0.311 0.311 0.689 1
B2 0.689 0.689 0.311 1
Ta1 0.260 0.740 0.260 1
Ta2 0.740 0.260 0.740 1
Ni2 0.750 0.750 0.750 1

***

# Ta2NiB2, relaxed, DFT PBE
# - Total energy: -9.166 eV per atom
data_Ta2NiB2
_space_group_name_H-M_alt 'P 1'
_space_group_IT_number 1
_cell_length_a 5.827
_cell_length_b 5.827
_cell_length_c 3.284
_cell_angle_alpha 90.00
_cell_angle_beta 90.00
_cell_angle_gamma 149.61
loop_
_space_group_symop_operation_xyz
'x,y,z'
loop_
_atom_site_label
_atom_site_fract_x
_atom_site_fract_y
_atom_site_fract_z
_atom_site_occupancy
Ta1 0.365 0.635 0.500 1
B1 0.209 0.791 0.000 1
B2 0.791 0.209 0.000 1
Ta2 0.635 0.365 0.500 1
Ni1 0.000 0.000 0.000 1

***

# TaNiB, relaxed, DFT PBE
# - Total energy: -8.657 eV per atom
data_TaNiB
_space_group_name_H-M_alt 'P 1'
_space_group_IT_number 1
_cell_length_a 5.863
_cell_length_b 3.325
_cell_length_c 6.807
_cell_angle_alpha 90.00
_cell_angle_beta 90.00
_cell_angle_gamma 90.00
loop_
_space_group_symop_operation_xyz
'x,y,z'
loop_
_atom_site_label
_atom_site_fract_x
_atom_site_fract_y
_atom_site_fract_z
_atom_site_occupancy
B1 0.261 0.750 0.625 1
B2 0.761 0.750 0.875 1
B3 0.739 0.250 0.375 1
Ni1 0.142 0.750 0.943 1
Ni2 0.642 0.750 0.557 1
Ta1 0.471 0.250 0.821 1
Ta2 0.029 0.750 0.321 1
Ta3 0.971 0.250 0.679 1
B4 0.239 0.250 0.125 1
Ta4 0.529 0.750 0.179 1
Ni3 0.858 0.250 0.057 1
Ni4 0.358 0.250 0.443 1

***

# Ta2NiB, relaxed, DFT PBE
# - Total energy: -8.224 eV per atom
data_Ta2NiB
_space_group_name_H-M_alt 'P 1'
_space_group_IT_number 1
_cell_length_a 4.291
_cell_length_b 4.291
_cell_length_c 4.291
_cell_angle_alpha 60.00
_cell_angle_beta 60.00
_cell_angle_gamma 60.00
loop_
_space_group_symop_operation_xyz
'x,y,z'
loop_
_atom_site_label
_atom_site_fract_x
_atom_site_fract_y
_atom_site_fract_z
_atom_site_occupancy
Ni1 0.250 0.250 0.250 1
Ta1 0.750 0.750 0.750 1
B1 0.500 0.500 0.500 1
Ta2 0.000 0.000 0.000 1

***

# Ta2NiB, relaxed, DFT PBE
# - Total energy: -8.472 eV per atom
data_Ta2NiB
_space_group_name_H-M_alt 'P 1'
_space_group_IT_number 1
_cell_length_a 3.582
_cell_length_b 3.582
_cell_length_c 5.691
_cell_angle_alpha 90.00
_cell_angle_beta 90.00
_cell_angle_gamma 120.00
loop_
_space_group_symop_operation_xyz
'x,y,z'
loop_
_atom_site_label
_atom_site_fract_x
_atom_site_fract_y
_atom_site_fract_z
_atom_site_occupancy
Ni1 0.667 0.333 0.999 1
Ta1 0.000 0.000 0.772 1
B1 0.000 0.000 0.397 1
Ta2 0.333 0.667 0.276 1

***

# TaNiB2, relaxed, DFT PBE
# - Total energy: -8.112 eV per atom
# - Excess energy over the best structure of this formula in the dataset: 0 meV per atom
data_TaNiB2
_space_group_name_H-M_alt 'P 1'
_space_group_IT_number 1
_cell_length_a 3.025
_cell_length_b 4.400
_cell_length_c 4.400
_cell_angle_alpha 42.72
_cell_angle_beta 90.00
_cell_angle_gamma 90.00
loop_
_space_group_symop_operation_xyz
'x,y,z'
loop_
_atom_site_label
_atom_site_fract_x
_atom_site_fract_y
_atom_site_fract_z
_atom_site_occupancy
Ni1 0.500 0.866 0.866 1
B1 0.500 0.550 0.550 1
B2 0.000 0.435 0.435 1
Ta1 0.000 0.149 0.149 1

***

Copy entry 2 word for word.
# Ta2NiB2, relaxed, DFT PBE
# - Total energy: -9.166 eV per atom
data_Ta2NiB2
_space_group_name_H-M_alt 'P 1'
_space_group_IT_number 1
_cell_length_a 5.827
_cell_length_b 5.827
_cell_length_c 3.284
_cell_angle_alpha 90.00
_cell_angle_beta 90.00
_cell_angle_gamma 149.61
loop_
_space_group_symop_operation_xyz
'x,y,z'
loop_
_atom_site_label
_atom_site_fract_x
_atom_site_fract_y
_atom_site_fract_z
_atom_site_occupancy
Ta1 0.365 0.635 0.500 1
B1 0.209 0.791 0.000 1
B2 0.791 0.209 0.000 1
Ta2 0.635 0.365 0.500 1
Ni1 0.000 0.000 0.000 1